No. 1
VASP calculation (PBE-GGA) on a relaxed Nb2SiNi3 crystal.

Unit cell a=4.8725 b=4.8725 c=7.6939 alpha=90.00 beta=90.00 gamma=120.00
Space group P6_3/mmc (No. 194)
Unique sites:
Nb  0.3333  0.6667  0.0586 (multiplicity 4)
Si  0.0000  0.0000  0.0000 (multiplicity 2)
Ni  0.1689  0.3378  0.7500 (multiplicity 6)

Energy, eV/atom: -7.6154
DOS(E_F), states/eV per atom: 1.55

No. 2
VASP calculation (PBE-GGA) on a relaxed Nb2Si2Ni crystal.

Unit cell a=3.6507 b=5.0896 c=7.7637 alpha=90.00 beta=90.00 gamma=90.00
Space group Immm (No. 71)
Unique sites:
Nb  0.0000  0.0000  0.2003 (multiplicity 4)
Si  0.0000  0.2653  0.5000 (multiplicity 4)
Ni  0.0000  0.5000  0.0000 (multiplicity 2)

Energy, eV/atom: -8.0821
DOS(E_F), states/eV per atom: 0.40

No. 3
VASP calculation (PBE-GGA) on a relaxed Nb2SiNi4 crystal.

Unit cell a=4.0197 b=4.0197 c=13.2638 alpha=90.00 beta=90.00 gamma=90.00
Space group I4/mmm (No. 139)
Unique sites:
Nb  0.0000  0.0000  0.1603 (multiplicity 4)
Si  0.0000  0.0000  0.5000 (multiplicity 2)
Ni  0.0000  0.0000  0.3366 (multiplicity 4)
Ni  0.0000  0.5000  0.0000 (multiplicity 4)

Energy, eV/atom: -6.5162
DOS(E_F), states/eV per atom: 0.93

No. 4
VASP calculation (PBE-GGA) on a relaxed Nb2SiNi crystal.

Unit cell a=6.8947 b=6.8947 c=5.4221 alpha=90.00 beta=90.00 gamma=90.00
Space group I-42d (No. 122)
Unique sites:
Nb  0.2420  0.2500  0.1250 (multiplicity 8)
Si  0.0000  0.0000  0.5000 (multiplicity 4)
Ni  0.0000  0.0000  0.0000 (multiplicity 4)

Energy, eV/atom: -7.8205
DOS(E_F), states/eV per atom: 0.58

No. 5
VASP calculation (PBE-GGA) on a relaxed NbSiNi2 crystal.

Unit cell a=3.6790 b=3.6790 c=16.7617 alpha=90.00 beta=90.00 gamma=90.00
Space group I-42d (No. 122)
Unique sites:
Nb  0.0000  0.0000  0.0000 (multiplicity 4)
Si  0.0000  0.0000  0.5000 (multiplicity 4)
Ni  0.2227  0.2500  0.6250 (multiplicity 8)

Energy, eV/atom: -6.8297
DOS(E_F), states/eV per atom: 0.24

No. 6
VASP calculation (PBE-GGA) on a relaxed Nb3Si3Ni crystal.

Unit cell a=9.6350 b=3.6666 c=12.5122 alpha=90.00 beta=110.30 gamma=90.00
Space group C2/m (No. 12)
Unique sites:
Nb  0.0082  0.0000  0.3750 (multiplicity 4)
Nb  0.1072  0.0000  0.9212 (multiplicity 4)
Nb  0.2483  0.0000  0.2254 (multiplicity 4)
Si  0.0317  0.5000  0.2334 (multiplicity 4)
Si  0.1181  0.5000  0.0758 (multiplicity 4)
Si  0.1354  0.5000  0.5420 (multiplicity 4)
Ni  0.2318  0.5000  0.3954 (multiplicity 4)

Energy, eV/atom: -8.1258
DOS(E_F), states/eV per atom: 0.52